# CaSi2BO6

CaSi2BO6 after structural relaxation (PBE-GGA, Alexandria via LeMat-Bulk).

Structure (POSCAR):
```
CaSi2BO6
1.0
4.849 -4.439 0.000
4.849 4.439 0.000
-3.245 0.000 5.100
Ca Si B O
2 4 2 12
Direct
0.161 0.839 0.750
0.839 0.161 0.250
0.254 0.380 0.880
0.380 0.254 0.380
0.620 0.746 0.620
0.746 0.620 0.120
0.188 0.812 0.250
0.812 0.188 0.750
0.021 0.202 0.712
0.178 0.632 0.005
0.202 0.021 0.212
0.262 0.391 0.599
0.368 0.822 0.495
0.391 0.262 0.099
0.609 0.738 0.901
0.632 0.178 0.505
0.738 0.609 0.401
0.798 0.979 0.788
0.822 0.368 0.995
0.979 0.798 0.288
```

Summary:
crystal system: monoclinic
raw formation energy: -2.487 eV per atom
E_tot: -148.279 eV for the cell shown
space-group type: C2/c (15)
magnetic moment: 0.18 Bohr magnetons per cell